(1)
Crystalline TbZn2Ag6 at its relaxed geometry, computed with GGA-PBE.

Geometry as POSCAR:
```
TbZn2Ag6
1.0
5.5245 0.9831 0.9409
4.9527 6.7098 2.1421
4.9527 2.4342 6.6095
Zn Tb Ag
2 1 6
Cartesian
4.3184 3.8138 3.6502
11.1115 6.3133 6.0424
5.5245 0.9831 0.9409
8.8309 7.9250 5.6541
6.5991 2.2021 4.0385
6.5991 4.1312 2.0230
7.7150 6.2059 3.6527
7.7150 3.9212 6.0399
8.8309 5.9960 7.6696
```

Summary:
The electronic total energy comes out at -2.73 eV/atom. The size of the total moment comes out at 0.00 μB/cell. The density of states at the Fermi level is 4.24 states/eV per cell.

***

(2)
Crystalline Tb5Zn2Ag at its relaxed geometry, computed with GGA-PBE.

Geometry as POSCAR:
```
Tb5Zn2Ag
1.0
6.6633 0.0000 -3.1454
-1.4848 6.4958 -3.1454
0.3162 0.3966 9.3003
Zn Tb Ag
4 10 2
Cartesian
4.9294 4.0383 -4.7181
3.9618 0.7904 -2.3382
0.2491 2.4575 -1.5727
1.2167 5.7053 -3.9526
2.8389 2.1782 0.2709
4.5006 1.4663 3.7909
4.0801 6.5008 -2.8746
-0.4302 3.6394 4.8318
1.4146 0.3916 5.8841
5.9249 3.2529 -1.8223
2.6557 4.7142 2.7386
2.5892 3.2479 -3.1454
0.0000 0.0000 0.0000
0.9941 5.4261 -0.7814
4.0420 5.0701 -0.0680
1.4527 1.8223 3.0775
```

Summary:
The electronic total energy comes out at -3.78 eV/atom. The size of the total moment comes out at 0.00 μB/cell. The density of states at the Fermi level is 16.68 states/eV per cell.

***

(3)
Crystalline TbZn3Ag3 at its relaxed geometry, computed with GGA-PBE.

Geometry as POSCAR:
```
TbZn3Ag3
1.0
-1.1132 7.7299 3.5614
-6.6435 1.3878 5.2548
1.3332 1.0829 8.4098
Zn Ag Tb
6 6 2
Cartesian
-6.4204 7.9365 8.7564
-0.7890 7.7212 10.9838
-4.6933 3.2438 12.1793
-5.6345 2.4793 6.2421
-0.0031 2.2641 8.4695
-1.7302 6.9567 5.0467
-2.1219 6.2792 9.6794
-1.7684 3.8245 8.5484
-2.5453 5.9354 7.0087
-4.6551 6.3761 8.6775
-4.3015 3.9213 7.5465
-3.8782 4.2652 10.2172
-1.6059 2.5501 4.3065
-4.8176 7.6504 12.9194
```

Summary:
The electronic total energy comes out at -1.65 eV/atom. The size of the total moment comes out at 0.00 μB/cell. The density of states at the Fermi level is 13.46 states/eV per cell.

***

(4)
Crystalline Tb3Zn4Ag2 at its relaxed geometry, computed with GGA-PBE.

Geometry as POSCAR:
```
Tb3Zn4Ag2
1.0
4.4080 0.0000 1.1759
1.9059 5.1524 1.7053
0.1352 -0.2119 8.3433
Zn Ag Tb
4 2 3
Cartesian
1.9697 2.0500 1.4663
4.4794 2.8905 9.7581
0.8406 1.3937 5.6989
5.6085 3.5469 5.5255
2.8862 0.1492 6.8804
3.5629 4.7913 4.3440
0.0000 0.0000 0.0000
3.6188 1.6011 4.1342
2.8303 3.3394 7.0902
```

Summary:
The electronic total energy comes out at -3.08 eV/atom. The size of the total moment comes out at 0.00 μB/cell. The density of states at the Fermi level is 7.10 states/eV per cell.

***

(5)
Crystalline Tb2Zn2Ag3 at its relaxed geometry, computed with GGA-PBE.

Geometry as POSCAR:
```
Tb2Zn2Ag3
1.0
4.5337 0.0000 0.0000
-2.2669 4.9450 0.6953
0.0000 1.2937 6.6831
Tb Ag Zn
2 3 2
Cartesian
2.2669 1.6995 1.7379
0.0000 4.5392 5.6404
2.2669 2.5755 5.2789
0.0000 3.6632 2.0995
0.0000 0.0000 0.0000
0.0000 1.7339 4.0133
2.2669 4.5048 3.3651
```

Summary:
The relative energy among the computed polymorphs is 0 kJ/mol of formula units. The electronic total energy comes out at -3.19 eV/atom. The size of the total moment comes out at 0.00 μB/cell. The density of states at the Fermi level is 4.25 states/eV per cell.

***

(6)
Crystalline TbZn4Ag4 at its relaxed geometry, computed with GGA-PBE.

Geometry as POSCAR:
```
TbZn4Ag4
1.0
-3.7262 -0.7804 2.7502
-4.8744 -0.9948 -6.8865
1.7268 -8.3181 -0.0207
Zn Tb Ag
8 2 8
Cartesian
-4.1750 -8.5338 -4.0714
-1.0652 -7.0603 0.5667
-0.7412 -3.4878 -1.9906
-2.4094 -5.8257 -4.9143
-6.2259 -3.7883 -1.4933
-5.8116 -3.0336 -4.7214
-2.6957 -1.5588 -0.0878
-4.3710 -7.0848 0.0843
-3.4369 -5.0466 -2.0785
0.0000 0.0000 0.0000
-5.3300 -1.8243 0.2776
-3.8538 -3.8960 -6.3236
-4.4575 -2.1454 -2.6414
0.7031 -5.4175 -0.5813
-5.2668 -9.0487 -1.6867
-5.0439 -6.0912 -4.5487
-2.4131 -7.9472 -1.5179
-1.8330 -4.0027 0.3941
```

Summary:
The electronic total energy comes out at -2.40 eV/atom. The size of the total moment comes out at 0.00 μB/cell. The density of states at the Fermi level is 9.22 states/eV per cell.

***

(7)
Crystalline Tb6Zn3Ag at its relaxed geometry, computed with GGA-PBE.

Geometry as POSCAR:
```
Tb6Zn3Ag
1.0
5.0314 0.0000 0.0000
0.0000 8.8079 -2.8929
0.0000 0.0129 11.3838
Zn Tb Ag
6 12 2
Cartesian
1.2579 3.2549 7.6882
1.2579 4.7618 2.8310
3.7736 4.0590 5.6598
1.2579 6.7987 8.8644
3.7736 2.0221 -0.3735
3.7736 5.5659 0.8027
3.7736 7.7486 7.0907
1.2579 7.5742 1.3262
3.7736 6.4230 3.6443
1.2579 2.3978 4.8466
3.7736 7.6782 -1.1354
3.7736 1.2467 7.1646
1.2579 4.2566 -0.2032
3.7736 4.5642 8.6941
3.7736 3.1348 2.5189
1.2579 1.0722 1.4001
1.2579 5.6861 5.9719
1.2579 1.1427 9.6262
1.2579 8.1936 4.3705
3.7736 0.6273 4.1204
```

Summary:
The electronic total energy comes out at -3.65 eV/atom. The size of the total moment comes out at 0.00 μB/cell. The density of states at the Fermi level is 17.28 states/eV per cell.

***

(8)
Crystalline TbZn3Ag at its relaxed geometry, computed with GGA-PBE.

Geometry as POSCAR:
```
TbZn3Ag
1.0
-4.1629 -1.3083 -3.2197
2.0660 -5.0015 -0.6389
-3.3083 -1.9975 4.9391
Ag Tb Zn
2 2 6
Cartesian
-2.2894 -2.2409 -1.4788
-3.1159 -6.0664 2.5594
-2.2869 -5.2818 -0.9022
-3.1184 -3.0255 1.9828
-0.1897 -3.0043 0.0986
-1.1845 -0.5961 0.4062
-4.5910 -3.2979 -0.6470
-5.2155 -5.3030 0.9819
-4.2208 -7.7112 0.6743
-0.8143 -5.0094 1.7275
```

Summary:
The relative energy among the computed polymorphs is 0 kJ/mol of formula units. The electronic total energy comes out at -2.51 eV/atom. The size of the total moment comes out at 0.00 μB/cell. The density of states at the Fermi level is 3.43 states/eV per cell.

***

(9)
Crystalline Tb2ZnAg3 at its relaxed geometry, computed with GGA-PBE.

Geometry as POSCAR:
```
Tb2ZnAg3
1.0
-4.5621 3.5409 0.5948
-3.6783 -0.8801 -4.4045
0.2488 -7.0536 6.2815
Tb Ag Zn
4 6 2
Cartesian
-4.3429 2.4444 -0.6451
-3.7749 -3.3017 -0.0139
-4.2168 -1.0912 2.4857
-3.8975 0.2164 -3.1647
-1.2040 -5.3968 4.5595
-1.3174 -1.9475 1.4893
-2.7716 -0.2928 -0.2310
-6.7876 1.0039 -2.0877
-6.6742 -2.4453 0.9825
-5.2200 -4.1000 2.7028
-5.4104 -0.5769 -0.4463
-2.5812 -3.8159 2.9181
```

Summary:
The electronic total energy comes out at -3.48 eV/atom. The size of the total moment comes out at 0.00 μB/cell. The density of states at the Fermi level is 6.92 states/eV per cell.

***

(10)
Crystalline TbZnAg3 at its relaxed geometry, computed with GGA-PBE.

Geometry as POSCAR:
```
TbZnAg3
1.0
6.7198 0.0000 0.0000
0.0000 7.2082 0.0348
0.0000 -2.3395 8.2178
Ag Tb Zn
12 4 4
Cartesian
1.2380 -0.1560 3.2626
1.9336 3.6868 0.0587
0.0562 3.4563 7.0838
4.5979 6.1944 0.8811
3.3037 4.6261 2.9749
2.1219 -1.3258 7.3715
5.2935 2.3516 4.0850
6.6636 1.4124 1.1688
1.4263 2.5171 4.1676
5.4818 5.0247 4.9900
4.7862 1.1818 8.1939
3.4161 0.2426 5.2777
3.4108 3.2236 6.2962
0.0509 0.4753 6.0653
6.6689 4.3934 2.1873
3.3090 1.6451 1.9565
4.7921 -1.3705 7.3887
1.9277 6.2392 0.8639
1.4322 5.0695 4.9728
5.2876 -0.2008 3.2798
```

Summary:
The relative energy among the computed polymorphs is 6 kJ/mol of formula units. The electronic total energy comes out at -3.09 eV/atom. The size of the total moment comes out at 0.00 μB/cell. The density of states at the Fermi level is 7.49 states/eV per cell.

***

(11)
Crystalline Tb4ZnAg2 at its relaxed geometry, computed with GGA-PBE.

Geometry as POSCAR:
```
Tb4ZnAg2
1.0
4.8670 0.0000 1.5206
2.1960 4.3435 1.5206
-0.0605 -0.0372 8.7431
Ag Tb Zn
2 4 1
Cartesian
1.7632 1.0843 2.9057
5.2393 3.2220 8.8785
4.3910 2.7003 3.0444
2.6116 1.6060 8.7399
0.8526 0.5243 5.8206
6.1500 3.7820 5.9637
0.0000 0.0000 0.0000
```

Summary:
The electronic total energy comes out at -3.81 eV/atom. The size of the total moment comes out at 0.00 μB/cell. The density of states at the Fermi level is 7.34 states/eV per cell.

***

(12)
Crystalline TbZn2Ag at its relaxed geometry, computed with GGA-PBE.

Geometry as POSCAR:
```
TbZn2Ag
1.0
4.3936 0.0000 0.0000
0.0000 4.3127 0.0000
0.0000 0.0000 4.3127
Zn Ag Tb
2 1 1
Cartesian
0.0000 2.1564 0.0000
0.0000 0.0000 2.1564
2.1968 0.0000 0.0000
2.1968 2.1564 2.1564
```

Summary:
The electronic total energy comes out at -2.67 eV/atom. The size of the total moment comes out at 0.00 μB/cell. The density of states at the Fermi level is 2.67 states/eV per cell.

***

| no. | formation enthalpy at 0 K (meV/atom) |
| --- | --- |
| 1 | -36 |
| 2 | -208 |
| 3 | 778 |
| 4 | -335 |
| 5 | -283 |
| 6 | -48 |
| 7 | -209 |
| 8 | -245 |
| 9 | -296 |
| 10 | -200 |
| 11 | -166 |
| 12 | -161 |